No. 1
{"formula": "Tb2MgAl3Ga6", "functional": "PBE", "state": "optimized geometry", "volume_a3_per_atom": 23.45, "dft_energy_ev_per_atom": -3.404, "magnetic_moment_mub_per_cell": 0.00, "sg": "P4/mmm", "cell": [[4.028, 0.000, 0.000], [0.000, 4.028, 0.000], [0.000, 0.000, 17.344]], "species": ["Tb", "Tb", "Mg", "Al", "Al", "Al", "Ga", "Ga", "Ga", "Ga", "Ga", "Ga"], "fractional_positions": [[0.500, 0.500, 0.216], [0.500, 0.500, 0.784], [0.500, 0.500, 0.500], [0.000, 0.000, 0.281], [0.000, 0.000, 0.719], [0.000, 0.000, 0.000], [0.000, 0.500, 0.620], [0.500, 0.000, 0.380], [0.500, 0.000, 0.620], [0.000, 0.000, 0.139], [0.000, 0.500, 0.380], [0.000, 0.000, 0.861]]}

=====

No. 2
{"formula": "Ce3Tm", "functional": "PBE", "state": "optimized geometry", "volume_a3_per_atom": 29.14, "magnetic_moment_mub_per_cell": 4.02, "sg": "P6_3/mmc", "relative_energy_mev_per_atom": 50.3, "cell": [[3.444, -5.966, 0.000], [3.444, 5.966, 0.000], [0.000, 0.000, 5.672]], "species": ["Ce", "Ce", "Ce", "Ce", "Ce", "Ce", "Tm", "Tm"], "fractional_positions": [[0.166, 0.331, 0.250], [0.669, 0.834, 0.250], [0.166, 0.834, 0.250], [0.834, 0.669, 0.750], [0.331, 0.166, 0.750], [0.834, 0.166, 0.750], [0.333, 0.667, 0.750], [0.667, 0.333, 0.250]]}

=====

No. 3
{"formula": "Pu2PtCl", "functional": "PBE", "state": "optimized geometry", "volume_a3_per_atom": 26.30, "magnetic_moment_mub_per_cell": 11.13, "sg": "R-3m", "raw_formation_energy_ev_per_fu": -3.72, "relative_energy_mev_per_atom": 0.0, "cell": [[-3.922, 0.262, -0.920], [-1.461, -1.985, -3.197], [-3.201, -6.488, 2.942]], "species": ["Cl", "Pt", "Pu", "Pu"], "fractional_positions": [[0.500, 0.500, 0.500], [0.000, 0.000, 0.000], [0.260, 0.260, 0.219], [0.740, 0.740, 0.781]]}

=====

No. 4
{"formula": "Sc2VTe", "functional": "PBE", "state": "optimized geometry", "volume_a3_per_atom": 24.26, "magnetic_moment_mub_per_cell": 2.45, "sg": "R-3m", "raw_formation_energy_ev_per_fu": 0.94, "cell": [[1.942, 0.000, 9.903], [-0.971, 1.682, 9.903], [-0.971, -1.682, 9.903]], "species": ["Sc", "Sc", "Te", "V"], "fractional_positions": [[0.903, 0.903, 0.903], [0.097, 0.097, 0.097], [0.000, 0.000, 0.000], [0.500, 0.500, 0.500]]}

=====

No. 5
{"formula": "RbLiS", "functional": "PBE", "state": "optimized geometry", "volume_a3_per_atom": 25.49, "magnetic_moment_mub_per_cell": 0.00, "sg": "I4mm", "raw_formation_energy_ev_per_fu": -2.53, "cell": [[3.715, 0.000, 0.000], [0.000, 3.715, 0.000], [-1.858, -1.858, 5.540]], "species": ["S", "Rb", "Li"], "fractional_positions": [[0.724, 0.724, 0.447], [0.016, 0.016, 0.033], [0.260, 0.260, 0.520]]}

=====

No. 6
{"formula": "KTl12Hg6", "functional": "PBE", "state": "optimized geometry", "volume_a3_per_atom": 32.61, "magnetic_moment_mub_per_cell": 0.00, "sg": "R-3m", "relative_energy_mev_per_atom": 28.2, "cell": [[8.996, -0.149, -0.209], [-2.374, 8.678, -0.209], [-2.374, -3.058, 8.124]], "species": ["K", "Tl", "Tl", "Tl", "Tl", "Tl", "Tl", "Tl", "Tl", "Tl", "Tl", "Tl", "Tl", "Hg", "Hg", "Hg", "Hg", "Hg", "Hg"], "fractional_positions": [[0.000, 0.000, 0.000], [0.884, 0.116, 0.500], [0.852, 0.605, 0.605], [0.605, 0.605, 0.852], [0.395, 0.148, 0.395], [0.395, 0.395, 0.148], [0.148, 0.395, 0.395], [0.116, 0.500, 0.884], [0.500, 0.884, 0.116], [0.116, 0.884, 0.500], [0.884, 0.500, 0.116], [0.500, 0.116, 0.884], [0.605, 0.852, 0.605], [0.717, 0.285, 0.285], [0.285, 0.285, 0.717], [0.285, 0.717, 0.285], [0.715, 0.715, 0.283], [0.283, 0.715, 0.715], [0.715, 0.283, 0.715]]}

=====

No. 7
{"formula": "Mn2OsCl", "functional": "PBE", "state": "optimized geometry", "volume_a3_per_atom": 16.24, "magnetic_moment_mub_per_cell": 1.06, "sg": "Imm2", "raw_formation_energy_ev_per_fu": 1.03, "relative_energy_mev_per_atom": 177.2, "cell": [[7.608, 0.585, -0.262], [6.162, 4.501, 0.262], [-6.809, -2.749, 2.092]], "species": ["Mn", "Mn", "Os", "Cl"], "fractional_positions": [[0.955, 0.955, 0.000], [0.691, 0.191, 0.500], [0.549, 0.549, 0.000], [0.305, 0.805, 0.500]]}

=====

No. 8
{"formula": "Li2CuMo", "functional": "PBE", "state": "optimized geometry", "volume_a3_per_atom": 14.39, "magnetic_moment_mub_per_cell": 0.00, "sg": "Pmm2", "relative_energy_mev_per_atom": 79.1, "cell": [[-0.120, 1.663, -1.874], [2.911, -2.029, -1.987], [-3.930, -3.148, -2.544]], "species": ["Cu", "Li", "Li", "Mo"], "fractional_positions": [[0.500, 0.500, 0.729], [0.000, 0.000, 0.005], [0.500, 0.500, 0.238], [0.000, 0.000, 0.528]]}

=====

No. 9
{"formula": "Y5As3", "functional": "PBE", "state": "optimized geometry", "volume_a3_per_atom": 24.85, "magnetic_moment_mub_per_cell": 0.86, "sg": "Cmmm", "relative_energy_mev_per_atom": 227.6, "cell": [[4.071, -5.512, 0.000], [4.071, 5.512, 0.000], [0.000, 0.000, 4.430]], "species": ["Y", "Y", "Y", "Y", "Y", "As", "As", "As"], "fractional_positions": [[0.000, 0.000, 0.000], [0.000, 0.500, 0.000], [0.500, 0.000, 0.000], [0.284, 0.284, 0.500], [0.716, 0.716, 0.500], [0.500, 0.500, 0.000], [0.814, 0.186, 0.500], [0.186, 0.814, 0.500]]}

=====

No. 10
{"formula": "CuAu", "functional": "PBE", "state": "optimized geometry", "volume_a3_per_atom": 23.67, "dft_energy_ev_per_atom": -2.990, "magnetic_moment_mub_per_cell": 0.00, "sg": "F-43m", "cell": [[4.060, 0.000, 0.000], [2.030, 3.516, 0.000], [2.030, 1.172, 3.315]], "species": ["Au", "Cu"], "fractional_positions": [[0.000, 0.000, 0.000], [0.250, 0.250, 0.250]]}

=====

No. 11
{"formula": "TlCrSi2", "functional": "PBE", "state": "optimized geometry", "volume_a3_per_atom": 19.94, "magnetic_moment_mub_per_cell": 1.60, "sg": "C2/m", "raw_formation_energy_ev_per_fu": 1.19, "relative_energy_mev_per_atom": 60.3, "cell": [[-0.432, -0.182, -4.279], [2.440, -1.218, -3.330], [-1.895, -6.050, -0.866]], "species": ["Cr", "Si", "Si", "Tl"], "fractional_positions": [[0.250, 0.250, 0.250], [0.977, 0.977, 0.116], [0.523, 0.523, 0.384], [0.750, 0.750, 0.750]]}

=====

No. 12
{"formula": "Tl2MoSe", "functional": "PBE", "state": "optimized geometry", "volume_a3_per_atom": 24.58, "magnetic_moment_mub_per_cell": 0.73, "sg": "P2/m", "raw_formation_energy_ev_per_fu": 2.22, "relative_energy_mev_per_atom": 477.7, "cell": [[-4.294, -0.359, 3.267], [0.794, -3.548, 0.654], [3.520, -1.899, 4.419]], "species": ["Mo", "Se", "Tl", "Tl"], "fractional_positions": [[0.500, 0.250, 0.250], [0.500, 0.750, 0.750], [0.000, 0.214, 0.008], [0.000, 0.286, 0.492]]}